# 1
Computed, not measured: a relaxed structure of CaAsP2 at the PBE-GGA level of DFT.

a b c (Å): 3.7245 3.7245 20.7103
angles (deg): 90.00 90.00 120.00
Space group R-3m (No. 166, hexagonal axes)
Unique sites:
Ca 0.0000 0.0000 0.0000
As 0.0000 0.0000 0.5000
P 0.0000 0.0000 0.2374

## Properties
Calculated formation energy, eV/atom: -0.26
Total magnetic moment, μB/f.u.: 0.0
DFT total energy, eV/atom: -4.6284
Volume, A^3/atom: 20.73



# 2
Computed, not measured: a relaxed structure of ZrTlGa2Pt at the PBE-GGA level of DFT.

a b c (Å): 4.748 4.748 5.372
angles (deg): 90.00 90.00 90.00
Space group P4/mmm (No. 123)
Unique sites:
Zr 0.000 0.000 0.000
Tl 0.500 0.500 0.000
Ga 0.000 0.500 0.500
Pt 0.000 0.000 0.500

## Properties
Calculated formation energy, eV/atom: -0.11
Total magnetic moment, μB/f.u.: 0.0
DFT total energy, eV/atom: -4.7096
Volume, A^3/atom: 24.23



# 3
Computed, not measured: a relaxed structure of Sc2MoOs at the PBE-GGA level of DFT.

a b c (Å): 3.183 4.788 9.075
angles (deg): 90.00 90.00 90.00
Space group Immm (No. 71)
Unique sites:
Sc 0.000 0.000 0.240
Mo 0.000 0.500 0.000
Os 0.000 0.500 0.500

## Properties
Calculated formation energy, eV/atom: 0.00
Total magnetic moment, μB/f.u.: 0.0
DFT total energy, eV/atom: -8.6829
Volume, A^3/atom: 17.29



# 4
Computed, not measured: a relaxed structure of Mo2Se2Br at the PBE-GGA level of DFT.

a b c (Å): 3.275 3.275 20.951
angles (deg): 90.00 90.00 90.00
Space group I4/mmm (No. 139)
Unique sites:
Mo 0.000 0.000 0.116
Se 0.000 0.000 0.331
Br 0.000 0.000 0.000

## Properties
Raw formation energy, eV per atom: 0.094
Total magnetic moment, μB/f.u.: 0.3
DFT total energy, eV/atom: -5.9671
Volume, A^3/atom: 22.48



# 5
Computed, not measured: a relaxed structure of Ac6AgHg at the PBE-GGA level of DFT.

a b c (Å): 5.651 5.651 19.395
angles (deg): 90.00 90.00 90.00
Space group I4/mmm (No. 139)
Unique sites:
Ac 0.000 0.000 0.249
Ac 0.000 0.500 0.104
Ag 0.000 0.000 0.500
Hg 0.000 0.000 0.000

## Properties
Calculated formation energy, eV/atom: -0.18
Total magnetic moment, μB/f.u.: 0.0
DFT total energy, eV/atom: -3.6517
Volume, A^3/atom: 38.71



# 6
Computed, not measured: a relaxed structure of LiMnBeAl at the PBE-GGA level of DFT.

a b c (Å): 5.812 5.812 5.812
angles (deg): 90.00 90.00 90.00
Space group F-43m (No. 216)
Unique sites:
Li 0.000 0.000 0.000
Mn 0.250 0.250 0.250
Be 0.000 0.000 0.500
Al 0.250 0.250 0.750

## Properties
Calculated formation energy, eV/atom: 0.05
Total magnetic moment, μB/f.u.: 3.5
DFT total energy, eV/atom: -4.5887
Volume, A^3/atom: 12.27



# 7
Computed, not measured: a relaxed structure of CsNpI5 at the PBE-GGA level of DFT.

a b c (Å): 15.868 8.556 12.278
angles (deg): 90.00 112.19 90.00
Space group C2/c (No. 15)
Unique sites:
Cs 0.000 0.009 0.250
Np 0.000 0.500 0.000
I 0.000 0.460 0.750
I 0.132 0.238 0.551
I 0.149 0.270 0.091

## Properties
Raw formation energy, eV per atom: -0.991
Total magnetic moment, μB/f.u.: 3.0
DFT total energy, eV/atom: -4.0689
Volume, A^3/atom: 55.12



# 8
Computed, not measured: a relaxed structure of AcCeTe2 at the PBE-GGA level of DFT.

a b c (Å): 3.968 3.968 7.981
angles (deg): 90.00 90.00 90.00
Space group P4/mmm (No. 123)
Unique sites:
Ac 0.000 0.000 0.000
Ce 0.000 0.000 0.500
Te 0.500 0.500 0.262

## Properties
Raw formation energy, eV per atom: -1.304
Excess energy over the best structure of this formula in the dataset, kJ/mol of formula units: 46
Total magnetic moment, μB/f.u.: 2.1
DFT total energy, eV/atom: -5.3857
Volume, A^3/atom: 31.41